[1]
{"formula": "Li2BO3", "functional": "PBE", "state": "relaxed", "lattice": [[4.0405, -2.3331, 0.0000], [4.0405, 2.3331, 0.0000], [0.0000, 0.0000, 5.5162]], "species": ["Li", "Li", "Li", "Li", "B", "B", "O", "O", "O", "O", "O", "O"], "fractional_positions": [[0.1666, 0.1666, 0.0000], [0.1666, 0.1666, 0.5000], [0.8334, 0.8334, 0.0000], [0.8334, 0.8334, 0.5000], [0.4990, 0.5010, 0.7500], [0.5010, 0.4990, 0.2500], [0.2037, 0.7963, 0.7500], [0.2054, 0.4992, 0.2500], [0.4992, 0.2054, 0.7500], [0.5008, 0.7946, 0.2500], [0.7946, 0.5008, 0.7500], [0.7963, 0.2037, 0.2500]], "de_polymorph_ev_per_fu": 0.16, "sg": "Cmcm, No. 63", "raw_formation_energy_ev_per_atom": -1.96}

[2]
{"formula": "CaHg2Rh", "functional": "PBE", "state": "relaxed", "lattice": [[-2.1484, 2.1484, 4.5003], [2.1484, -2.1484, 4.5003], [2.1484, 2.1484, -4.5003]], "species": ["Ca", "Hg", "Hg", "Rh"], "fractional_positions": [[0.0000, 0.0000, 0.0000], [0.2500, 0.7500, 0.5000], [0.5000, 0.5000, 0.0000], [0.7500, 0.2500, 0.5000]], "formation_enthalpy_0k_ev_per_atom": -0.2047, "sg": "I-4m2, No. 119"}

[3]
{"formula": "TbPaTc", "functional": "PBE", "state": "relaxed", "lattice": [[3.1329, -3.1318, 0.0000], [3.1329, 3.1318, 0.0000], [-2.9962, 0.0000, 7.4954]], "species": ["Tb", "Tb", "Pa", "Pa", "Tc", "Tc"], "fractional_positions": [[0.1583, 0.1583, 0.3327], [0.8417, 0.8417, 0.6673], [0.4013, 0.4013, 0.7846], [0.5987, 0.5987, 0.2154], [0.0000, 0.5000, 0.0000], [0.5000, 0.0000, 0.0000]], "formation_enthalpy_0k_ev_per_atom": 0.0722, "de_polymorph_ev_per_fu": 0.64, "sg": "C2/m, No. 12"}

[4]
{"formula": "NbNiTe2N", "functional": "PBE", "state": "relaxed", "lattice": [[5.5163, 0.0000, 0.0000], [0.0000, 5.5163, 0.0000], [0.0000, 0.0000, 3.8616]], "species": ["Nb", "Ni", "Te", "Te", "N"], "fractional_positions": [[0.0000, 0.0000, 0.0000], [0.5000, 0.5000, 0.5000], [0.0000, 0.5000, 0.0000], [0.5000, 0.0000, 0.0000], [0.0000, 0.0000, 0.5000]], "de_polymorph_ev_per_fu": 0.00, "sg": "P4/mmm, No. 123", "raw_formation_energy_ev_per_atom": 0.55}

[5]
{"formula": "AlTc2", "functional": "PBE", "state": "relaxed", "lattice": [[-1.4019, 1.4019, 11.4599], [1.4019, -1.4019, 11.4599], [1.4019, 1.4019, -11.4599]], "species": ["Al", "Al", "Tc", "Tc", "Tc", "Tc"], "fractional_positions": [[0.3750, 0.6250, 0.7500], [0.6250, 0.3750, 0.2500], [0.0449, 0.7949, 0.2500], [0.2051, 0.9551, 0.2500], [0.7949, 0.0449, 0.7500], [0.9551, 0.2051, 0.7500]], "formation_enthalpy_0k_ev_per_atom": 0.0607, "de_polymorph_ev_per_fu": 1.42, "sg": "I4_1/amd, No. 141"}

[6]
{"formula": "Mg2ZnPb", "functional": "PBE", "state": "relaxed", "lattice": [[3.1431, -4.1504, 0.0000], [3.1431, 4.1504, 0.0000], [0.0000, 0.0000, 3.4717]], "species": ["Mg", "Mg", "Zn", "Pb"], "fractional_positions": [[0.0000, 0.5000, 0.0000], [0.5000, 0.0000, 0.0000], [0.0000, 0.0000, 0.5000], [0.5000, 0.5000, 0.5000]], "formation_enthalpy_0k_ev_per_atom": 0.0053, "sg": "Cmmm, No. 65"}